No. 1
Computed, not measured: a relaxed structure of Tl3CrC at the PBE-GGA level of DFT.

The structure belongs to space group Pm-3m (No. 221); the cell edges are 4.8653, 4.8653 and 4.8653 Å and the angles 90.00°, 90.00° and 90.00°. The asymmetric unit holds Tl at (0.0000, 0.0000, 0.5000), Cr at (0.5000, 0.5000, 0.5000) and C at (0.0000, 0.0000, 0.0000).

The value obtained for the formation energy is 1.800 eV per atom. As for the energy above the most stable polymorph in this dataset: 0.0 meV/atom.



No. 2
Computed, not measured: a relaxed structure of Ti6BiPd12 at the PBE-GGA level of DFT.

The structure belongs to space group R-3 (No. 148, hexagonal axes); the cell edges are 12.3579, 12.3579 and 6.9311 Å and the angles 90.00°, 90.00° and 120.00°. The asymmetric unit holds Ti at (0.0234, 0.2672, 0.3441), Bi at (0.0000, 0.0000, 0.0000), Pd at (0.0046, 0.1413, 0.6572) and Pd at (0.0606, 0.5570, 0.6744).

The value obtained for the formation energy is -0.483 eV per atom.



No. 3
Computed, not measured: a relaxed structure of NbSbPS2 at the PBE-GGA level of DFT.

The structure belongs to space group P4/mmm (No. 123); the cell edges are 4.7062, 4.7062 and 5.1320 Å and the angles 90.00°, 90.00° and 90.00°. The asymmetric unit holds Nb at (0.0000, 0.0000, 0.0000), Sb at (0.5000, 0.5000, 0.5000), P at (0.0000, 0.0000, 0.5000) and S at (0.0000, 0.5000, 0.0000).

The formation energy from raw total energies comes out at 0.0707 eV/atom. As for the energy above the most stable polymorph in this dataset: 0.0 meV/atom.



No. 4
Computed, not measured: a relaxed structure of TeIrPt2 at the PBE-GGA level of DFT.

The structure belongs to space group P4/mmm (No. 123); the cell edges are 2.9484, 2.9484 and 8.1137 Å and the angles 90.00°, 90.00° and 90.00°. The asymmetric unit holds Te at (0.0000, 0.0000, 0.0000), Ir at (0.0000, 0.0000, 0.5000) and Pt at (0.5000, 0.5000, 0.2749).

The formation energy from raw total energies comes out at 0.3227 eV/atom.



No. 5
Computed, not measured: a relaxed structure of AcSc at the PBE-GGA level of DFT.

The structure belongs to space group Pmmn (No. 59, origin choice 2); the cell edges are 3.7064, 5.9619 and 6.0929 Å and the angles 90.00°, 90.00° and 90.00°. The asymmetric unit holds Ac at (0.2500, 0.2500, 0.0981) and Sc at (0.2500, 0.7500, 0.4143).

The value obtained for the formation energy is 0.175 eV per atom. As for the energy above the most stable polymorph in this dataset: 80.0 meV/atom.



No. 6
Computed, not measured: a relaxed structure of LiRe4Hg at the PBE-GGA level of DFT.

The structure belongs to space group F-43m (No. 216); the cell edges are 7.4215, 7.4215 and 7.4215 Å and the angles 90.00°, 90.00° and 90.00°. The asymmetric unit holds Li at (0.0000, 0.0000, 0.0000), Re at (0.1252, 0.1252, 0.6252) and Hg at (0.2500, 0.2500, 0.2500).

The value obtained for the formation energy is 0.635 eV per atom.



No. 7
Computed, not measured: a relaxed structure of LiGaFeRe at the PBE-GGA level of DFT.

The structure belongs to space group F-43m (No. 216); the cell edges are 5.8105, 5.8105 and 5.8105 Å and the angles 90.00°, 90.00° and 90.00°. The asymmetric unit holds Li at (0.0000, 0.0000, 0.0000), Ga at (0.2500, 0.2500, 0.2500), Fe at (0.0000, 0.0000, 0.5000) and Re at (0.2500, 0.2500, 0.7500).

The value obtained for the formation energy is 0.023 eV per atom. As for the energy above the most stable polymorph in this dataset: 15.3 meV/atom.



No. 8
Computed, not measured: a relaxed structure of Y4W at the PBE-GGA level of DFT.

The structure belongs to space group Pm-3m (No. 221); the cell edges are 5.4746, 5.4746 and 5.4746 Å and the angles 90.00°, 90.00° and 90.00°. The asymmetric unit holds Y at (0.0000, 0.0000, 0.0000), Y at (0.0000, 0.5000, 0.5000) and W at (0.5000, 0.5000, 0.5000).

The value obtained for the formation energy is 0.525 eV per atom. As for the energy above the most stable polymorph in this dataset: 220.0 meV/atom.



No. 9
Computed, not measured: a relaxed structure of BaTl3In at the PBE-GGA level of DFT.

The structure belongs to space group Pm-3m (No. 221); the cell edges are 5.8234, 5.8234 and 5.8234 Å and the angles 90.00°, 90.00° and 90.00°. The asymmetric unit holds Ba at (0.0000, 0.0000, 0.0000), Tl at (0.0000, 0.5000, 0.5000) and In at (0.5000, 0.5000, 0.5000).

The value obtained for the formation energy is 0.012 eV per atom. As for the energy above the most stable polymorph in this dataset: 259.5 meV/atom.



No. 10
Computed, not measured: a relaxed structure of Y2SeBr2 at the PBE-GGA level of DFT.

The structure belongs to space group C2/m (No. 12); the cell edges are 7.0736, 4.0863 and 11.1642 Å and the angles 90.00°, 103.49° and 90.00°. The asymmetric unit holds Y at (0.2183, 0.0000, 0.1407), Se at (0.0000, 0.5000, 0.0000) and Br at (0.0541, 0.0000, 0.6937).

The formation energy from raw total energies comes out at -1.7392 eV/atom.



No. 11
Computed, not measured: a relaxed structure of RbTl2IrPb at the PBE-GGA level of DFT.

The structure belongs to space group P4/mmm (No. 123); the cell edges are 5.3939, 5.3939 and 5.5502 Å and the angles 90.00°, 90.00° and 90.00°. The asymmetric unit holds Rb at (0.0000, 0.0000, 0.0000), Tl at (0.0000, 0.5000, 0.5000), Ir at (0.5000, 0.5000, 0.5000) and Pb at (0.5000, 0.5000, 0.0000).

The value obtained for the formation energy is 0.129 eV per atom.



No. 12
Computed, not measured: a relaxed structure of LaMnCo2 at the PBE-GGA level of DFT.

The structure belongs to space group Imm2 (No. 44); the cell edges are 3.2263, 4.4726 and 9.3321 Å and the angles 90.00°, 90.00° and 90.00°. The asymmetric unit holds La at (0.0000, 0.0000, 0.0000), Mn at (0.0000, 0.5000, 0.7796), Co at (0.0000, 0.0000, 0.5213) and Co at (0.0000, 0.5000, 0.2309).

The value obtained for the formation energy is 0.307 eV per atom.



No. 13
Computed, not measured: a relaxed structure of Tb2CePa2Ru5 at the PBE-GGA level of DFT.

The structure belongs to space group P4/mbm (No. 127); the cell edges are 10.5952, 10.5952 and 3.6952 Å and the angles 90.00°, 90.00° and 90.00°. The asymmetric unit holds Tb at (0.1726, 0.3274, 0.0000), Ce at (0.0000, 0.0000, 0.0000), Pa at (0.1352, 0.6352, 0.0000), Ru at (0.0000, 0.5000, 0.5000) and Ru at (0.0557, 0.7980, 0.5000).

The value obtained for the formation energy is -0.346 eV per atom.



No. 14
Computed, not measured: a relaxed structure of Cs2KNaIn at the PBE-GGA level of DFT.

The structure belongs to space group P4/mmm (No. 123); the cell edges are 7.5584, 7.5584 and 6.3083 Å and the angles 90.00°, 90.00° and 90.00°. The asymmetric unit holds Cs at (0.0000, 0.5000, 0.0000), K at (0.0000, 0.0000, 0.5000), Na at (0.5000, 0.5000, 0.5000) and In at (0.5000, 0.5000, 0.0000).

The value obtained for the formation energy is 0.103 eV per atom.



No. 15
Computed, not measured: a relaxed structure of Hf2CdPb at the PBE-GGA level of DFT.

The structure belongs to space group P4/mmm (No. 123); the cell edges are 4.4394, 4.4394 and 4.4869 Å and the angles 90.00°, 90.00° and 90.00°. The asymmetric unit holds Hf at (0.0000, 0.5000, 0.0000), Cd at (0.0000, 0.0000, 0.5000) and Pb at (0.5000, 0.5000, 0.5000).

The value obtained for the formation energy is 0.032 eV per atom. As for the energy above the most stable polymorph in this dataset: 0.0 meV/atom.



No. 16
Computed, not measured: a relaxed structure of CuBr2Cl at the PBE-GGA level of DFT.

The structure belongs to space group I-4m2 (No. 119); the cell edges are 3.7755, 3.7755 and 16.2208 Å and the angles 90.00°, 90.00° and 90.00°. The asymmetric unit holds Cu at (0.0000, 0.0000, 0.0000), Br at (0.0000, 0.0000, 0.5000), Br at (0.0000, 0.5000, 0.7500) and Cl at (0.0000, 0.5000, 0.2500).

The formation energy from raw total energies comes out at 0.1549 eV/atom. As for the energy above the most stable polymorph in this dataset: 393.1 meV/atom.



No. 17
Computed, not measured: a relaxed structure of RbMg2AlF8 at the PBE-GGA level of DFT.

The structure belongs to space group P-1 (No. 2); the cell edges are 5.1522, 5.1532 and 7.3265 Å and the angles 76.17°, 76.20° and 72.50°. The asymmetric unit holds Rb at (0.0000, 0.0000, 0.0000), Mg at (0.4421, 0.4417, 0.2313), Al at (0.0000, 0.0000, 0.5000), F at (0.2160, 0.7777, 0.6784), F at (0.2195, 0.7819, 0.3224), F at (0.2276, 0.2232, 0.4245) and F at (0.3543, 0.3512, 0.0057).

The formation energy from raw total energies comes out at -3.3709 eV/atom.



No. 18
Computed, not measured: a relaxed structure of LiTiTl2Se4 at the PBE-GGA level of DFT.

The structure belongs to space group I-4 (No. 82); the cell edges are 6.3708, 6.3708 and 12.5371 Å and the angles 90.00°, 90.00° and 90.00°. The asymmetric unit holds Li at (0.0000, 0.0000, 0.0000), Ti at (0.0000, 0.5000, 0.7500), Tl at (0.0000, 0.0000, 0.5000), Tl at (0.0000, 0.5000, 0.2500) and Se at (0.1759, 0.7423, 0.8664).

The formation energy from raw total energies comes out at -0.7265 eV/atom.



No. 19
Computed, not measured: a relaxed structure of AcY2In2Hg2 at the PBE-GGA level of DFT.

The structure belongs to space group R-3m (No. 166, hexagonal axes); the cell edges are 5.0060, 5.0060 and 28.1474 Å and the angles 90.00°, 90.00° and 120.00°. The asymmetric unit holds Ac at (0.0000, 0.0000, 0.0000), Y at (0.0000, 0.0000, 0.1341), In at (0.0000, 0.0000, 0.2603) and Hg at (0.0000, 0.0000, 0.4351).

The value obtained for the formation energy is -0.340 eV per atom.



No. 20
Computed, not measured: a relaxed structure of MgAl2Re2 at the PBE-GGA level of DFT.

The structure belongs to space group P4/mbm (No. 127); the cell edges are 7.6546, 7.6546 and 2.8280 Å and the angles 90.00°, 90.00° and 90.00°. The asymmetric unit holds Mg at (0.0000, 0.0000, 0.0000), Al at (0.1792, 0.3208, 0.5000) and Re at (0.1140, 0.6140, 0.0000).

The value obtained for the formation energy is 0.090 eV per atom. As for the energy above the most stable polymorph in this dataset: 53.5 meV/atom.



Q: Which uncorrected energy values were calculated for the entries above? A: -0.125 -0.237 -0.202 -0.209 -0.185 -0.295 -0.237 -0.266 -0.086 -0.209 -0.130 -0.249 -0.309 -0.047 -0.224 -0.080 -0.194 -0.158 -0.134 -0.246, in hartree per atom.